Computed, not measured: crystalline Nd7Tl at its relaxed geometry at the PBE-GGA level of DFT.

a b c (Å): 10.1995 10.1995 10.1995
angles (deg): 90.00 90.00 90.00
Last column: nearest neighbours and their distance in Å.
Space group Fm-3m (No. 225)
Symmetry-distinct sites (fractional):
Nd1 0.0000 0.0000 0.0000 x4  12 Nd 3.61
Nd2 0.0000 0.2500 0.2500 x24  2 Tl 3.61, 10 Nd 3.61
Tl1 0.0000 0.0000 0.5000 x4  12 Nd 3.61

Values from the calculation:
formation energy = -0.052 eV per atom
calculated volume = 1061.1 Å³/cell